This record from Alexandria via LeMat-Bulk describes a geometry-optimized Cu2BiPd2 structure. The functional is PBE.

The structure belongs to space group I4/mmm (No. 139); the cell edges are 3.959, 3.959 and 11.181 Å and the angles 90.00°, 90.00° and 90.00°. The inequivalent atoms are Cu at (0.000, 0.000, 0.106), Bi at (0.000, 0.000, 0.500) and Pd at (0.000, 0.500, 0.250).

Its calculated density is 10.40 Mg/m³. For the energy above the lowest structure with this stoichiometry, the calculation gives 124 meV per atom. The calculated formation energy is 0.077 eV per atom.

=====

This record from Alexandria via LeMat-Bulk describes a geometry-optimized PaGaAg2O6 structure. The functional is PBE.

The structure belongs to space group P1 (No. 1); the cell edges are 5.355, 5.558 and 5.824 Å and the angles 64.50°, 89.75° and 65.41°. The inequivalent atoms are Pa at (0.000, 0.000, 0.000), Ga at (0.537, 0.923, 0.526), Ag at (0.284, 0.443, 0.837), Ag at (0.780, 0.387, 0.389), O at (0.284, 0.891, 0.763), O at (0.321, 0.923, 0.268), O at (0.628, 0.144, 0.669), O at (0.690, 0.164, 0.217), O at (0.849, 0.520, 0.661) and O at (0.986, 0.591, 0.144).

Its calculated density is 7.32 Mg/m³. Its formation energy (no corrections) is -1608 meV per atom.

=====

This record from Alexandria via LeMat-Bulk describes a geometry-optimized Zn3C structure. The functional is PBE.

The structure belongs to space group Pm-3n (No. 223); the cell edges are 4.734, 4.734 and 4.734 Å and the angles 90.00°, 90.00° and 90.00°. The inequivalent atoms are Zn at (0.000, 0.250, 0.500) and C at (0.000, 0.000, 0.000).

Its calculated density is 6.52 Mg/m³. The calculated formation energy is 1.088 eV per atom.

=====

This record from Alexandria via LeMat-Bulk describes a geometry-optimized ZrTaRe2Ir structure. The functional is PBE.

The structure belongs to space group P4/mmm (No. 123); the cell edges are 4.699, 4.699 and 4.873 Å and the angles 90.00°, 90.00° and 90.00°. The inequivalent atoms are Zr at (0.000, 0.000, 0.000), Ta at (0.500, 0.500, 0.000), Re at (0.000, 0.500, 0.500) and Ir at (0.000, 0.000, 0.500).

Its calculated density is 12.92 Mg/m³. The calculated formation energy is 1.517 eV per atom.